DFT (PBE) results for a relaxed structure of Pm2Zn3GaPt4.

## Properties
Total magnetization = 0.00 μB per cell
Formation enthalpy at 0 K = -0.81 eV/atom

```
data_Pm2Zn3GaPt4
_chemical_formula_sum 'Pm2 Zn3 Ga1 Pt4'
_symmetry_space_group_name_H-M 'P 1'
_symmetry_Int_Tables_number 1
_symmetry_space_group_name_Hall 'P 1'
_cell_length_a 4.239
_cell_length_b 4.239
_cell_length_c 10.626
_cell_angle_alpha 90.00
_cell_angle_beta 90.00
_cell_angle_gamma 90.00
loop_
_atom_site_label
_atom_site_fract_x
_atom_site_fract_y
_atom_site_fract_z
Zn1 0.000 0.500 0.133
Pm1 0.500 0.000 0.243
Pt1 0.500 0.500 0.000
Zn2 0.000 0.000 0.500
Pm2 0.000 0.500 0.757
Pt2 0.000 0.000 0.000
Pt3 0.500 0.000 0.634
Zn3 0.500 0.000 0.867
Pt4 0.000 0.500 0.366
Ga1 0.500 0.500 0.500
```